Record 1
# Be2Br

A relaxed Be2Br crystal (GGA-PBEsol, Alexandria).

a = 3.0436 Å, b = 3.0436 Å, c = 5.6529 Å
α = 105.62°, β = 105.62°, γ = 90.00°
Sites, in units of the cell vectors:
Br 0.0000 0.0000 0.0000
Be 0.2059 0.2059 0.4118
Be 0.7941 0.7941 0.5882

Values from the calculation:
formation energy without anion corrections	0.343	eV/atom



Record 2
# BeBr2

A relaxed BeBr2 crystal (GGA-PBEsol, Alexandria).

a = 3.4568 Å, b = 3.4568 Å, c = 6.3326 Å
α = 90.00°, β = 90.00°, γ = 120.00°
Sites, in units of the cell vectors:
Br 0.6667 0.3333 0.7851
Br 0.3333 0.6667 0.2149
Be 0.0000 0.0000 0.0000

Values from the calculation:
relative energy among the computed polymorphs	204	meV per atom
formation energy without anion corrections	-0.792	eV/atom



Record 3
# BeBr

A relaxed BeBr crystal (GGA-PBEsol, Alexandria).

a = 3.1853 Å, b = 3.1853 Å, c = 3.1853 Å
α = 90.00°, β = 90.00°, γ = 90.00°
Sites, in units of the cell vectors:
Be 0.0000 0.0000 0.0000
Br 0.5000 0.5000 0.5000

Values from the calculation:
relative energy among the computed polymorphs	658	meV per atom
formation energy without anion corrections	0.671	eV/atom



Record 4
# BeC2Br

A relaxed BeC2Br crystal (GGA-PBEsol, Alexandria).

a = 3.9078 Å, b = 3.9078 Å, c = 3.9078 Å
α = 60.00°, β = 60.00°, γ = 60.00°
Sites, in units of the cell vectors:
Br 0.5000 0.5000 0.5000
Be 0.0000 0.0000 0.0000
C 0.2500 0.2500 0.2500
C 0.7500 0.7500 0.7500

Values from the calculation:
formation energy without anion corrections	2.868	eV/atom



Record 5
# BeH12C4S2Br2

A relaxed BeH12C4S2Br2 crystal (GGA-PBEsol, Alexandria).

a = 9.9327 Å, b = 10.0733 Å, c = 10.6773 Å
α = 90.00°, β = 90.00°, γ = 90.00°
Sites, in units of the cell vectors:
H 0.2967 0.2951 0.6362
C 0.3551 0.3065 0.7231
H 0.5657 0.7264 0.5917
H 0.2033 0.7951 0.3638
H 0.0657 0.7736 0.5917
H 0.2033 0.2049 0.1362
Br 0.8001 0.0090 0.0797
H 0.4251 0.6094 0.7862
H 0.9251 0.8906 0.7862
H 0.7130 0.6797 0.1966
C 0.5079 0.1802 0.9023
S 0.0476 0.6585 0.2559
H 0.7033 0.7049 0.3638
H 0.2130 0.8203 0.1966
H 0.4251 0.3906 0.7138
Be 0.1908 0.5000 0.2500
C 0.1449 0.1935 0.2231
H 0.0737 0.4041 0.9268
H 0.9204 0.6827 0.5343
S 0.9524 0.3415 0.7441
Be 0.6908 0.0000 0.2500
H 0.4343 0.2736 0.4083
H 0.4204 0.8173 0.5343
H 0.2130 0.1797 0.3034
C 0.8551 0.1935 0.7231
Br 0.8001 0.9910 0.4203
H 0.9263 0.4041 0.4268
H 0.2870 0.3203 0.8034
Be 0.8092 0.5000 0.7500
C 0.9921 0.3198 0.4023
Br 0.3001 0.4910 0.0797
C 0.0079 0.3198 0.9023
C 0.3551 0.6935 0.7769
C 0.8551 0.8065 0.7769
H 0.9343 0.7736 0.0917
Be 0.3092 0.0000 0.7500
H 0.4263 0.9041 0.0732
H 0.4263 0.0959 0.4268
H 0.0796 0.3173 0.4657
C 0.6449 0.3065 0.2231
S 0.4524 0.8415 0.7559
H 0.0737 0.5959 0.5732
S 0.0476 0.3415 0.2441
Br 0.3001 0.5090 0.4203
H 0.9343 0.2264 0.4083
H 0.7967 0.7951 0.8638
H 0.7130 0.3203 0.3034
H 0.7870 0.8203 0.6966
C 0.1449 0.8065 0.2769
C 0.5079 0.8198 0.5977
C 0.4921 0.1802 0.4023
H 0.9251 0.1094 0.7138
H 0.7870 0.1797 0.8034
H 0.4343 0.7264 0.0917
S 0.4524 0.1585 0.7441
H 0.2967 0.7049 0.8638
H 0.0657 0.2264 0.9083
H 0.0749 0.8906 0.2862
H 0.5749 0.6094 0.2862
H 0.5796 0.8173 0.0343
C 0.9921 0.6802 0.0977
H 0.5737 0.9041 0.5732
H 0.5796 0.1827 0.4657
H 0.9204 0.3173 0.9657
H 0.0749 0.1094 0.2138
H 0.5657 0.2736 0.9083
S 0.9524 0.6585 0.7559
H 0.7033 0.2951 0.1362
C 0.0079 0.6802 0.5977
Br 0.6999 0.4910 0.5797
Br 0.6999 0.5090 0.9203
H 0.5737 0.0959 0.9268
S 0.5476 0.8415 0.2559
H 0.0796 0.6827 0.0343
H 0.2870 0.6797 0.6966
C 0.4921 0.8198 0.0977
Br 0.1999 0.0090 0.5797
H 0.9263 0.5959 0.0732
C 0.6449 0.6935 0.2769
H 0.7967 0.2049 0.6362
H 0.5749 0.3906 0.2138
H 0.4204 0.1827 0.9657
S 0.5476 0.1585 0.2441
Br 0.1999 0.9910 0.9203

Values from the calculation:
total energy	-4.81	eV/atom



Record 6
# CaBe2Br

A relaxed CaBe2Br crystal (GGA-PBEsol, Alexandria).

a = 3.4279 Å, b = 4.2146 Å, c = 5.9513 Å
α = 110.74°, β = 106.74°, γ = 90.00°
Sites, in units of the cell vectors:
Br 0.5000 0.0000 0.0000
Ca 0.0000 0.5000 0.0000
Be 0.7524 0.7524 0.5049
Be 0.2476 0.2476 0.4951

Values from the calculation:
relative energy among the computed polymorphs	0	meV per atom
formation energy without anion corrections	0.261	eV/atom



Record 7
# CaBe2Br

A relaxed CaBe2Br crystal (GGA-PBEsol, Alexandria).

a = 3.4576 Å, b = 4.2005 Å, c = 5.4467 Å
α = 90.00°, β = 90.00°, γ = 90.00°
Sites, in units of the cell vectors:
Be 0.0000 0.0000 0.0000
Ca 0.0000 0.5000 0.5000
Br 0.5000 0.0000 0.5000
Be 0.5000 0.5000 0.0000

Values from the calculation:
relative energy among the computed polymorphs	60	meV per atom
formation energy without anion corrections	0.321	eV/atom



Record 8
# CaBe2Br

A relaxed CaBe2Br crystal (GGA-PBEsol, Alexandria).

a = 4.1288 Å, b = 4.1326 Å, c = 5.2257 Å
α = 90.00°, β = 90.00°, γ = 90.00°
Sites, in units of the cell vectors:
Be 0.0000 0.0000 0.7751
Ca 0.5000 0.5000 0.5000
Br 0.5000 0.5000 0.0000
Be 0.0000 0.0000 0.2249

Values from the calculation:
relative energy among the computed polymorphs	253	meV per atom
formation energy without anion corrections	0.514	eV/atom



no.,magnetic moment (μB/cell),V (Å³ per cell)
1,0.00,48.4
2,0.00,65.5
3,0.00,32.3
4,0.00,42.2
5,0.00,1068.3
6,0.00,76.5
7,0.00,79.1
8,0.00,89.2